# 1
Cs2CoWBr6 | PBE-GGA | optimized geometry

Output
The value obtained for the energy relative to the elements, uncorrected is -0.71 eV per atom. The density of states at the Fermi level is 0.561 states/eV per atom. As for the space-group type: No. 139.

abc: 7.556 7.556 7.556
angles: 120.08 120.08 89.85
Fractional coordinates of all 10 atoms:
Cs 0.250 0.750 0.500
Cs 0.750 0.250 0.500
Co 0.000 0.000 0.000
W 0.500 0.500 0.000
Br 0.252 0.252 0.505
Br 0.252 0.748 0.000
Br 0.253 0.253 0.000
Br 0.747 0.747 0.000
Br 0.748 0.252 0.000
Br 0.748 0.748 0.495

=====

# 2
Cs2YCoBr6 | PBE-GGA | optimized geometry

Output
The value obtained for the energy relative to the elements, uncorrected is -1.41 eV per atom. The density of states at the Fermi level is 0.000 states/eV per atom. As for the space-group type: No. 225.

abc: 7.773 7.773 7.773
angles: 60.00 60.00 60.00
Fractional coordinates of all 10 atoms:
Cs 0.250 0.250 0.250
Cs 0.750 0.750 0.750
Y 0.000 0.000 0.000
Co 0.500 0.500 0.500
Br 0.256 0.256 0.744
Br 0.256 0.744 0.256
Br 0.256 0.744 0.744
Br 0.744 0.256 0.256
Br 0.744 0.256 0.744
Br 0.744 0.744 0.256